DFT (PBE+U) results for a relaxed structure of ScMnO3.

Unit cell a=6.6865 b=5.9149 c=6.7917 alpha=90.00 beta=118.20 gamma=90.00
With the nearest neighbours (Å) after each atom.
Atoms (fractional coordinates):
Sc  0.1348  0.2192  0.0330  5 O 2.07-2.27
Sc  0.1348  0.2808  0.5330  5 O 2.07-2.27
Sc  0.8652  0.7192  0.4670  5 O 2.07-2.27
Sc  0.8652  0.7808  0.9670  5 O 2.07-2.27
Mn  0.3024  0.6608  0.9247  5 O 1.91-2.14
Mn  0.3024  0.8392  0.4247  5 O 1.91-2.14
Mn  0.6976  0.1608  0.5753  5 O 1.91-2.14
Mn  0.6976  0.3392  0.0753  5 O 1.91-2.14
O  0.0042  0.0585  0.6907  1 Mn 1.91, 1 Sc 2.13
O  0.0042  0.4415  0.1907  1 Mn 1.91, 1 Sc 2.13
O  0.2276  0.6299  0.6020  2 Mn 1.95-2.01, 1 Sc 2.14
O  0.2276  0.8701  0.1020  2 Mn 1.95-2.01, 1 Sc 2.14
O  0.3734  0.1922  0.4340  2 Mn 1.92-2.14, 1 Sc 2.07
O  0.3734  0.3078  0.9340  2 Mn 1.92-2.14, 1 Sc 2.07
O  0.6266  0.6922  0.0660  2 Mn 1.92-2.14, 1 Sc 2.07
O  0.6266  0.8078  0.5660  2 Mn 1.92-2.14, 1 Sc 2.07
O  0.7724  0.1299  0.8980  2 Mn 1.95-2.01, 1 Sc 2.14
O  0.7724  0.3701  0.3980  2 Mn 1.95-2.01, 1 Sc 2.14
O  0.9958  0.5585  0.8093  1 Mn 1.91, 1 Sc 2.13
O  0.9958  0.9415  0.3093  1 Mn 1.91, 1 Sc 2.13

Values from the calculation:
For the volume, the calculation gives 11.8 Å³/atom. For the total energy, the calculation gives -8.1680 eV per atom. The value obtained for the density is 4150 kg/m³. Its symmetry is No. 14. As for the total moment: 16.0 μB per cell.